A plane-wave DFT calculation with PBE was carried out for crystalline Ac4CoSn at its relaxed geometry.

Cell: 6.4309 11.8487 6.4408 Å, 90.00 105.86 90.00°
With the nearest neighbours (Å) after each atom.
Fractional positions:
Ac 0.1235 0.2500 0.2276  1 Co 3.03, 1 Sn 3.29
Ac 0.2605 0.0295 0.7576  1 Co 2.63
Ac 0.2605 0.4705 0.7576  1 Co 2.63
Ac 0.2707 0.7500 0.3783  1 Co 3.03, 1 Sn 3.29
Ac 0.7293 0.2500 0.6217  1 Co 3.03, 1 Sn 3.29
Ac 0.7395 0.5295 0.2424  1 Co 2.63
Ac 0.7395 0.9705 0.2424  1 Co 2.63
Ac 0.8765 0.7500 0.7724  1 Co 3.03, 1 Sn 3.29
Co 0.2167 0.2500 0.7147  2 Ac 2.63, 1 Sn 2.71
Co 0.7833 0.7500 0.2853  2 Ac 2.63, 1 Sn 2.71
Sn 0.4344 0.7500 0.9364  1 Co 2.71
Sn 0.5656 0.2500 0.0636  1 Co 2.71

Properties
formation enthalpy at 0 K	-123.4	meV/atom
Fermi-level density of states	1.101	states/eV/atom


A plane-wave DFT calculation with PBE was carried out for crystalline SrCo2Sb2 at its relaxed geometry.

Cell: 8.0722 8.0722 3.1795 Å, 90.00 90.00 90.00°
With the nearest neighbours (Å) after each atom.
Fractional positions:
Sr 0.0000 0.0000 0.0000  4 Sb 3.11, 2 Sr 3.18
Sr 0.5000 0.5000 0.0000  4 Sb 3.11, 2 Sr 3.18
Co 0.1225 0.3775 0.5000  4 Sb 2.66, 1 Co 2.80
Co 0.3775 0.8775 0.5000  4 Sb 2.66, 1 Co 2.80
Co 0.6225 0.1225 0.5000  4 Sb 2.66, 1 Co 2.80
Co 0.8775 0.6225 0.5000  4 Sb 2.66, 1 Co 2.80
Sb 0.1409 0.6409 0.0000  4 Co 2.66
Sb 0.3591 0.1409 0.0000  4 Co 2.66
Sb 0.6409 0.8591 0.0000  4 Co 2.66
Sb 0.8591 0.3591 0.0000  4 Co 2.66

Properties
formation energy without anion corrections	0.11	eV per atom
Fermi-level density of states	0.924	states/eV/atom


| no. | raw total energy (eV/atom) |
| --- | --- |
| 1 | -4.714 |
| 2 | -4.719 |